1.
The following is a DFT calculation (GGA-PBE) of a relaxed structure of LiCaNdPd.

Results
- D(E_F) (states/eV/f.u.) = 4.73
- electronic total energy (eV/atom) = -3.804
- magnetic moment (μB/atom) = 0.000
- formation energy from the elements (eV per formula unit) = -1.340

abc: 5.154 5.154 5.154
angles: 60.00 60.00 60.00
Fractional positions:
Li: 0.000 0.000 0.000
Ca: 0.250 0.250 0.250
Nd: 0.750 0.750 0.750
Pd: 0.500 0.500 0.500

***

2.
The following is a DFT calculation (GGA-PBE) of a relaxed structure of Li2CaNdPt2.

Results
- D(E_F) (states/eV/f.u.) = 1.55
- electronic total energy (eV/atom) = -4.496
- magnetic moment (μB/atom) = 0.000
- formation energy from the elements (eV per formula unit) = -4.299

abc: 4.359 4.359 7.571
angles: 90.00 90.00 120.00
Fractional positions:
Li: 0.333 0.667 0.229
Li: 0.667 0.333 0.771
Ca: 0.000 0.000 0.000
Nd: 0.000 0.000 0.500
Pt: 0.333 0.667 0.740
Pt: 0.667 0.333 0.260

***

3.
The following is a DFT calculation (GGA-PBE) of a relaxed structure of LiCaNdPt.

Results
- D(E_F) (states/eV/f.u.) = 3.29
- electronic total energy (eV/atom) = -4.233
- magnetic moment (μB/atom) = 0.000
- formation energy from the elements (eV per formula unit) = -2.208

abc: 5.084 5.084 5.084
angles: 60.00 60.00 60.00
Fractional positions:
Li: 0.000 0.000 0.000
Ca: 0.750 0.750 0.750
Nd: 0.250 0.250 0.250
Pt: 0.500 0.500 0.500

***

4.
The following is a DFT calculation (GGA-PBE) of a relaxed structure of LiCaNdRh.

Results
- D(E_F) (states/eV/f.u.) = 2.72
- electronic total energy (eV/atom) = -4.308
- magnetic moment (μB/atom) = 0.000
- formation energy from the elements (eV per formula unit) = -1.197

abc: 5.060 5.060 5.060
angles: 60.00 60.00 60.00
Fractional positions:
Li: 0.000 0.000 0.000
Ca: 0.250 0.250 0.250
Nd: 0.750 0.750 0.750
Rh: 0.500 0.500 0.500